DFT (PBE) results for a relaxed structure of Ti2Tc2Pd.

a b c (Å): 7.1808 7.1808 3.1060
angles (deg): 90.00 90.00 90.00
With the nearest neighbours (Å) after each atom.
Sites, in units of the cell vectors:
Pd: 0.0000 0.0000 0.0000  4 Tc 2.88, 8 Ti 3.03, 2 Pd 3.11
Pd: 0.5000 0.5000 0.0000  4 Tc 2.88, 8 Ti 3.03, 2 Pd 3.11
Tc: 0.1171 0.3829 0.0000  1 Tc 2.38, 2 Ti 2.48
Tc: 0.3829 0.8829 0.0000  1 Tc 2.38, 2 Ti 2.48
Tc: 0.8829 0.6171 0.0000  1 Tc 2.38, 2 Ti 2.48
Tc: 0.6171 0.1171 0.0000  1 Tc 2.38, 2 Ti 2.48
Ti: 0.1921 0.6921 0.5000  6 Tc 2.48-2.76
Ti: 0.8079 0.3079 0.5000  6 Tc 2.48-2.76
Ti: 0.6921 0.8079 0.5000  6 Tc 2.48-2.76
Ti: 0.3079 0.1921 0.5000  6 Tc 2.48-2.76

Results
energy of formation: -101 meV per atom

***

DFT (PBE) results for a relaxed structure of Ca2TeAu.

a b c (Å): 6.3097 6.3097 4.5798
angles (deg): 90.00 90.00 38.78
With the nearest neighbours (Å) after each atom.
Sites, in units of the cell vectors:
Te: 0.4685 0.4685 0.6246  7 Ca 3.16-3.40, 2 Au 3.31
Ca: 0.7437 0.7437 0.6254  4 Au 3.12, 3 Te 3.28-3.40
Ca: 0.0201 0.0201 0.1246  1 Au 2.95, 4 Te 3.16
Au: 0.2677 0.2677 0.1254  5 Ca 2.95-3.12

Results
formation energy from raw total energies: -103.0 kJ per mole of atoms
polymorph energy (0 for the lowest one): 86 meV/atom

***

DFT (PBE) results for a relaxed structure of CsBe2TlI6.

a b c (Å): 10.0382 10.0382 11.2825
angles (deg): 102.97 102.97 103.87
With the nearest neighbours (Å) after each atom.
Sites, in units of the cell vectors:
Cs: 0.8299 0.1701 0.7500  8 I 4.11-4.29
Cs: 0.1701 0.8299 0.2500  8 I 4.11-4.29
I: 0.3134 0.5297 0.3928  1 Be 2.32
I: 0.4703 0.6866 0.1072  1 Be 2.32
I: 0.2143 0.1744 0.1061  1 Be 2.31
I: 0.5297 0.3134 0.8928  1 Be 2.32
I: 0.7857 0.8256 0.8939  1 Be 2.31
I: 0.8256 0.7857 0.3939  1 Be 2.31
I: 0.0752 0.6151 0.8592  1 Be 2.29
I: 0.1744 0.2143 0.6061  1 Be 2.31
I: 0.6866 0.4703 0.6072  1 Be 2.32
I: 0.3849 0.9248 0.6408  1 Be 2.29
I: 0.9248 0.3849 0.1408  1 Be 2.29
I: 0.6151 0.0752 0.3592  1 Be 2.29
Be: 0.6426 0.8544 0.2854  3 I 2.29-2.32
Be: 0.1456 0.3574 0.2146  3 I 2.29-2.32
Be: 0.8544 0.6426 0.7854  3 I 2.29-2.32
Be: 0.3574 0.1456 0.7146  3 I 2.29-2.32
Tl: 0.5685 0.4315 0.2500  6 I 3.53-3.84
Tl: 0.4315 0.5685 0.7500  6 I 3.53-3.84

Results
formation energy from raw total energies: -72.6 kJ per mole of atoms

***

DFT (PBE) results for a relaxed structure of Ca2YMgRu.

a b c (Å): 5.5301 5.6652 5.5301
angles (deg): 90.00 90.00 90.00
With the nearest neighbours (Å) after each atom.
Sites, in units of the cell vectors:
Ru: 0.5000 0.5000 0.5000  4 Y 3.91, 8 Ca 3.96
Mg: 0.0000 0.0000 0.0000  4 Ca 2.77, 2 Y 2.83
Ca: 0.0000 0.0000 0.5000  2 Mg 2.77
Ca: 0.5000 0.0000 0.0000  2 Mg 2.77
Y: 0.0000 0.5000 0.0000  2 Mg 2.83

Results
energy of formation: 1174 meV per atom

***

DFT (PBE) results for a relaxed structure of Nd2YCd2.

a b c (Å): 6.2855 9.2508 7.9538
angles (deg): 125.56 113.27 90.00
With the nearest neighbours (Å) after each atom.
Sites, in units of the cell vectors:
Nd: 0.6210 0.0047 0.2420  5 Cd 3.06-3.35
Nd: 0.8790 0.7626 0.7580  5 Cd 3.06-3.35
Nd: 0.3790 0.9953 0.7580  5 Cd 3.06-3.35
Nd: 0.1210 0.2374 0.2420  5 Cd 3.06-3.35
Cd: 0.3646 0.6255 0.7292  5 Nd 3.06-3.35, 2 Y 3.26
Cd: 0.6354 0.3745 0.2708  5 Nd 3.06-3.35, 2 Y 3.26
Cd: 0.8646 0.1037 0.7292  5 Nd 3.06-3.35, 2 Y 3.26
Cd: 0.1354 0.8963 0.2708  5 Nd 3.06-3.35, 2 Y 3.26
Y: 0.7500 0.5000 0.0000  2 Y 3.14, 4 Cd 3.26
Y: 0.2500 0.5000 0.0000  2 Y 3.14, 4 Cd 3.26

Results
energy of formation: 47 meV per atom
polymorph energy (0 for the lowest one): 306 meV/atom

***

DFT (PBE) results for a relaxed structure of Pm2HoTm4Mg.

a b c (Å): 4.9259 4.9416 11.1890
angles (deg): 63.75 90.00 90.00
With the nearest neighbours (Å) after each atom.
Sites, in units of the cell vectors:
Tm: 0.5000 0.7499 0.2500  4 Tm 3.49, 4 Pm 3.52, 2 Ho 3.52, 2 Mg 3.52
Tm: 0.0000 0.7495 0.7504  4 Tm 3.49, 2 Mg 3.51, 4 Pm 3.52, 2 Ho 3.52
Tm: 0.0000 0.2505 0.2496  4 Tm 3.49, 2 Mg 3.51, 4 Pm 3.52, 2 Ho 3.52
Tm: 0.5000 0.2501 0.7500  4 Tm 3.49, 4 Pm 3.52, 2 Ho 3.52, 2 Mg 3.52
Pm: 0.0000 0.0000 0.0000  4 Mg 3.49, 8 Tm 3.52
Pm: 0.5000 0.0000 0.5000  4 Ho 3.49, 8 Tm 3.52
Mg: 0.5000 0.5000 0.0000  4 Pm 3.49, 8 Tm 3.51-3.52
Ho: 0.0000 0.5000 0.5000  4 Pm 3.49, 8 Tm 3.52

Results
energy of formation: 33 meV per atom